(1)
# TcPt4Rh3 | the Alexandria database | PBE | relaxed
# Formation enthalpy at 0 K   0.074 eV per atom
# Relative energy among the computed polymorphs   0.136 eV/atom
# Magnetization   0.9 μB per formula unit
# Raw total energy   -112.0 eV for the cell shown
data_TcPt4Rh3
_chemical_formula_sum 'Tc2 Pt8 Rh6'
_cell_length_a 4.706
_cell_length_b 4.743
_cell_length_c 10.929
_cell_angle_alpha 90.00
_cell_angle_beta 90.00
_cell_angle_gamma 90.00
_space_group_name_H-M_alt 'I m m m'
_space_group_IT_number 71
_space_group_name_Hall '-I 2 2'
loop_
_atom_site_label
_atom_site_type_symbol
_atom_site_fract_x
_atom_site_fract_y
_atom_site_fract_z
_atom_site_occupancy
Tc1 Tc 0.000 0.000 0.000 1
Pt1 Pt 0.000 0.000 0.249 1
Pt2 Pt 0.000 0.500 0.124 1
Rh1 Rh 0.000 0.000 0.500 1
Rh2 Rh 0.000 0.500 0.380 1



(2)
# Rb2ZrPtS4 | the Alexandria database | PBE | relaxed
# Uncorrected formation energy   -1.0217 eV/atom
# Magnetization   0.0 μB per formula unit
# Raw total energy   -82.4 eV for the cell shown
data_Rb2ZrPtS4
_chemical_formula_sum 'Rb4 Zr2 Pt2 S8'
_cell_length_a 7.528
_cell_length_b 7.528
_cell_length_c 8.033
_cell_angle_alpha 90.00
_cell_angle_beta 90.00
_cell_angle_gamma 90.00
_space_group_name_H-M_alt 'I -4'
_space_group_IT_number 82
_space_group_name_Hall 'I -4'
loop_
_atom_site_label
_atom_site_type_symbol
_atom_site_fract_x
_atom_site_fract_y
_atom_site_fract_z
_atom_site_occupancy
Rb1 Rb 0.000 0.000 0.000 1
Rb2 Rb 0.000 0.500 0.250 1
Zr1 Zr 0.000 0.500 0.750 1
Pt1 Pt 0.000 0.000 0.500 1
S1 S 0.137 0.730 0.577 1



(3)
# TlAs2O2 | the Alexandria database | PBE | relaxed
# Uncorrected formation energy   0.0759 eV/atom
# Relative energy among the computed polymorphs   0.000 eV/atom
# Magnetization   0.0 μB per formula unit
# Raw total energy   -42.4 eV for the cell shown
data_TlAs2O2
_chemical_formula_sum 'Tl2 As4 O4'
_cell_length_a 7.466
_cell_length_b 7.466
_cell_length_c 3.302
_cell_angle_alpha 90.00
_cell_angle_beta 90.00
_cell_angle_gamma 90.00
_space_group_name_H-M_alt 'P 4/m b m'
_space_group_IT_number 127
_space_group_name_Hall '-P 4 2ab'
loop_
_atom_site_label
_atom_site_type_symbol
_atom_site_fract_x
_atom_site_fract_y
_atom_site_fract_z
_atom_site_occupancy
Tl1 Tl 0.000 0.000 0.000 1
As1 As 0.104 0.396 0.500 1
O1 O 0.126 0.626 0.000 1



(4)
# Sm3Tm3Cd | the Alexandria database | PBE | relaxed
# Formation enthalpy at 0 K   -0.038 eV per atom
# Magnetization   0.0 μB per formula unit
# Raw total energy   -57.5 eV for the cell shown
data_Sm3Tm3Cd
_chemical_formula_sum 'Sm6 Tm6 Cd2'
_cell_length_a 9.423
_cell_length_b 5.518
_cell_length_c 9.427
_cell_angle_alpha 90.00
_cell_angle_beta 119.96
_cell_angle_gamma 90.00
_space_group_name_H-M_alt 'P 1 21/m 1'
_space_group_IT_number 11
_space_group_name_Hall '-P 2yb'
loop_
_atom_site_label
_atom_site_type_symbol
_atom_site_fract_x
_atom_site_fract_y
_atom_site_fract_z
_atom_site_occupancy
Sm1 Sm 0.026 0.250 0.132 1
Sm2 Sm 0.132 0.750 0.606 1
Sm3 Sm 0.394 0.750 0.026 1
Tm1 Tm 0.264 0.750 0.322 1
Tm2 Tm 0.322 0.250 0.558 1
Tm3 Tm 0.442 0.250 0.264 1
Cd1 Cd 0.167 0.250 0.834 1



(5)
# HgTeIr2 | the Alexandria database | PBE | relaxed
# Uncorrected formation energy   0.6165 eV/atom
# Relative energy among the computed polymorphs   0.208 eV/atom
# Magnetization   0.3 μB per formula unit
# Raw total energy   -74.8 eV for the cell shown
data_HgTeIr2
_chemical_formula_sum 'Hg4 Te4 Ir8'
_cell_length_a 6.628
_cell_length_b 6.628
_cell_length_c 6.628
_cell_angle_alpha 90.00
_cell_angle_beta 90.00
_cell_angle_gamma 90.00
_space_group_name_H-M_alt 'F m -3 m'
_space_group_IT_number 225
_space_group_name_Hall '-F 4 2 3'
loop_
_atom_site_label
_atom_site_type_symbol
_atom_site_fract_x
_atom_site_fract_y
_atom_site_fract_z
_atom_site_occupancy
Hg1 Hg 0.000 0.000 0.000 1
Te1 Te 0.000 0.000 0.500 1
Ir1 Ir 0.250 0.250 0.250 1



(6)
# Mn2CoOs | the Alexandria database | PBE | relaxed
# Formation enthalpy at 0 K   0.031 eV per atom
# Magnetization   1.5 μB per formula unit
# Raw total energy   -73.1 eV for the cell shown
data_Mn2CoOs
_chemical_formula_sum 'Mn4 Co2 Os2'
_cell_length_a 3.629
_cell_length_b 3.629
_cell_length_c 7.152
_cell_angle_alpha 90.00
_cell_angle_beta 90.00
_cell_angle_gamma 90.00
_space_group_name_H-M_alt 'I 4/m m m'
_space_group_IT_number 139
_space_group_name_Hall '-I 4 2'
loop_
_atom_site_label
_atom_site_type_symbol
_atom_site_fract_x
_atom_site_fract_y
_atom_site_fract_z
_atom_site_occupancy
Mn1 Mn 0.000 0.500 0.250 1
Co1 Co 0.000 0.000 0.000 1
Os1 Os 0.000 0.000 0.500 1